Density functional theory data (GGA-PBE) for a relaxed structure of MgAlAs.

Density of states at the Fermi level = 0.4523 states/eV per atom
ΔE_f = -0.042 eV/atom
Crystal system = orthorhombic
Size of the total moment = 0.00 μB/cell
Space-group type = Amm2

```
6
Lattice="10.6770 0.0000 0.0000 0.0000 1.8555 3.2140 0.0000 -1.8555 3.2140" Properties=species:S:1:pos:R:3 pbc="T T T"
Mg 2.0817 0.0000 0.0000
Mg 8.5953 0.0000 0.0000
Al 0.0000 0.0000 4.2792
Al 5.3385 0.0000 4.2794
As 3.8186 0.0000 2.1376
As 6.8584 0.0000 2.1376
```

Density functional theory data (GGA-PBE) for a relaxed structure of GaGe2Au2.

Density of states at the Fermi level = 0.2674 states/eV per atom
ΔE_f = 0.100 eV/atom
Crystal system = tetragonal
Size of the total moment = 0.00 μB/cell
Space-group type = I4/mmm

```
5
Lattice="-2.2324 2.2324 5.3753 2.2324 -2.2324 5.3753 2.2324 2.2324 -5.3753" Properties=species:S:1:pos:R:3 pbc="T T T"
Ga 0.0000 0.0000 0.0000
Ge 0.0000 0.0000 4.0796
Ge 0.0000 0.0000 6.6709
Au 2.2324 0.0000 2.6876
Au 0.0000 2.2324 2.6876
```

Density functional theory data (GGA-PBE) for a relaxed structure of Rb4HoU3O12.

Density of states at the Fermi level = 0.4263 states/eV per atom
Formation energy without anion corrections = -2.892 eV/atom
Crystal system = cubic
Size of the total moment = 1.00 μB/cell
Space-group type = Im-3m

```
20
Lattice="-4.3498 4.3498 4.3498 4.3498 -4.3498 4.3498 4.3498 4.3498 -4.3498" Properties=species:S:1:pos:R:3 pbc="T T T"
Rb 2.1749 2.1749 -2.1749
Rb 2.1749 -2.1749 2.1749
Rb -2.1749 2.1749 2.1749
Rb 2.1749 2.1749 2.1749
Ho 0.0000 0.0000 0.0000
U 4.3498 0.0000 0.0000
U 0.0000 4.3498 0.0000
U 0.0000 0.0000 4.3498
O 2.3078 0.0000 0.0000
O 6.3917 0.0000 0.0000
O 4.3498 2.1749 0.0000
O 4.3498 0.0000 2.1749
O 0.0000 2.3078 0.0000
O 0.0000 0.0000 2.3078
O 2.1749 4.3498 0.0000
O 2.1749 0.0000 4.3498
O 0.0000 6.3917 0.0000
O 0.0000 0.0000 6.3917
O 0.0000 4.3498 2.1749
O 0.0000 2.1749 4.3498
```